[1]
VASP calculation (PBE) on an optimized crystal structure of BaZn3Ni.

Lattice parameters (Å, degrees): 6.607 11.708 5.282 90.00 90.00 90.00
Space group Cmcm (No. 63)
Asymmetric unit:
Ba1 0.000 0.110 0.250 (multiplicity 4)
Zn1 0.000 0.311 0.750 (multiplicity 4)
Zn2 0.203 0.363 0.250 (multiplicity 8)
Ni1 0.000 0.500 0.000 (multiplicity 4)

Output
Formation energy: -0.1663 eV/atom
E above lowest polymorph: 25.7 meV/atom
N(E_F): 9.5 states/eV per cell

[2]
VASP calculation (PBE) on an optimized crystal structure of Li2SnTeO.

Lattice parameters (Å, degrees): 4.424 4.424 4.761 90.00 90.00 90.00
Space group P4/mmm (No. 123)
Asymmetric unit:
Li1 0.000 0.500 0.000 (multiplicity 2)
Sn1 0.000 0.000 0.500 (multiplicity 1)
Te1 0.500 0.500 0.500 (multiplicity 1)
O1 0.000 0.000 0.000 (multiplicity 1)

Output
Raw formation energy: -101 kJ per mole of atoms
N(E_F): 0.3 states/eV per cell

| no. | size of the total moment (μB per cell) | total energy (eV/atom) |
| --- | --- | --- |
| 1 | 0.000 | -2.472 |
| 2 | 0.000 | -4.233 |